Version A
Material: LaCe2Ru
Method: DFT, PBE
State: optimized geometry

Summary:
- symmetry = R3m, No. 160
- spin magnetization (μB per cell) = 0.48
- D(E_F) (states/eV/atom) = 2.233

Cell: 3.918 3.918 9.193 Å, 77.70 77.70 60.00°
Sites, in units of the cell vectors:
La 0.502 0.502 0.495
Ce 0.275 0.275 0.175
Ru 0.664 0.664 0.007
Ce 0.059 0.059 0.823

---

Version B
Material: LaCe2Ru
Method: DFT, PBE
State: optimized geometry

Summary:
- symmetry = R-3m, No. 166
- spin magnetization (μB per cell) = 0.00
- D(E_F) (states/eV/atom) = 1.918

Cell: 4.638 4.638 5.878 Å, 66.77 66.77 60.00°
Sites, in units of the cell vectors:
Ce 0.263 0.263 0.211
La 0.500 0.500 0.500
Ce 0.737 0.737 0.789
Ru 0.000 0.000 0.000

---

Question: which arrangement is favored energetically? Ranking from most to least stable: version A, version B.

---

Version A
Material: LaCe2Ru
Method: DFT, PBE
State: optimized geometry

Summary:
- symmetry = Pnma, No. 62
- spin magnetization (μB per cell) = 0.01
- D(E_F) (states/eV/atom) = 2.110

Cell: 6.310 9.574 14.296 Å, 90.00 90.00 90.00°
Sites, in units of the cell vectors:
La 0.768 0.250 0.399
La 0.268 0.750 0.101
Ru 0.469 0.250 0.577
Ce 0.257 0.441 0.462
Ce 0.933 0.564 0.788
Ce 0.243 0.441 0.962
La 0.452 0.750 0.856
La 0.048 0.750 0.356
Ru 0.531 0.750 0.423
Ce 0.933 0.936 0.788
Ru 0.225 0.250 0.828
Ce 0.067 0.064 0.212
Ce 0.067 0.436 0.212
Ce 0.433 0.064 0.712
Ce 0.243 0.059 0.962
Ce 0.757 0.559 0.038
Ce 0.567 0.936 0.288
Ru 0.031 0.250 0.077
La 0.732 0.250 0.899
Ce 0.743 0.941 0.538
Ru 0.969 0.750 0.923
Ce 0.743 0.559 0.538
Ru 0.275 0.250 0.328
Ce 0.257 0.059 0.462
La 0.548 0.250 0.144
Ce 0.433 0.436 0.712
Ru 0.725 0.750 0.672
Ce 0.757 0.941 0.038
Ru 0.775 0.750 0.172
La 0.232 0.750 0.601
La 0.952 0.250 0.644
Ce 0.567 0.564 0.288

---

Version B
Material: LaCe2Ru
Method: DFT, PBE
State: optimized geometry

Summary:
- symmetry = P2_1, No. 4
- spin magnetization (μB per cell) = 0.80
- D(E_F) (states/eV/atom) = 2.167

Cell: 3.825 6.010 9.896 Å, 96.98 90.00 90.00°
Sites, in units of the cell vectors:
Ce 0.798 0.323 0.868
Ru 0.298 0.184 0.036
Ru 0.798 0.816 0.964
Ce 0.298 0.677 0.132
La 0.797 0.743 0.457
Ce 0.798 0.200 0.227
Ce 0.298 0.800 0.773
La 0.297 0.257 0.543

---

Question: which arrangement is favored energetically? Ranking from most to least stable: version A, version B.

---

Version A
Material: La2CeRu2
Method: DFT, PBE
State: optimized geometry

Summary:
- symmetry = C2/c, No. 15
- spin magnetization (μB per cell) = 0.00
- D(E_F) (states/eV/atom) = 0.960

Cell: 6.385 6.385 7.414 Å, 81.66 81.66 60.67°
Sites, in units of the cell vectors:
La 0.044 0.273 0.848
Ru 0.785 0.530 0.455
Ru 0.215 0.470 0.545
La 0.727 0.956 0.652
Ce 0.573 0.427 0.250
Ru 0.470 0.215 0.045
Ce 0.427 0.573 0.750
La 0.956 0.727 0.152
Ru 0.530 0.785 0.955
La 0.273 0.044 0.348

---

Version B
Material: La2CeRu2
Method: DFT, PBE
State: optimized geometry

Summary:
- symmetry = Ibam, No. 72
- spin magnetization (μB per cell) = 0.00
- D(E_F) (states/eV/atom) = 0.566

Cell: 6.489 7.828 7.394 Å, 121.96 116.03 90.00°
Sites, in units of the cell vectors:
La 0.336 0.962 0.673
La 0.664 0.038 0.327
La 0.836 0.711 0.673
Ce 0.750 0.500 0.000
Ru 0.080 0.818 0.160
Ru 0.920 0.182 0.840
Ce 0.250 0.500 0.000
Ru 0.580 0.342 0.160
La 0.164 0.289 0.327
Ru 0.420 0.658 0.840

---

Question: which arrangement is favored energetically? Ranking from most to least stable: version A, version B.

---

Version A
Material: LaCeSb2
Method: DFT, PBE
State: optimized geometry

Summary:
- symmetry = R3m, No. 160
- spin magnetization (μB per cell) = 0.89
- D(E_F) (states/eV/atom) = 1.647

Cell: 4.500 4.500 8.225 Å, 74.12 74.12 60.00°
Sites, in units of the cell vectors:
Ce 0.669 0.669 0.993
Sb 0.080 0.080 0.760
Sb 0.254 0.254 0.239
La 0.497 0.497 0.508

---

Version B
Material: LaCeSb2
Method: DFT, PBE
State: optimized geometry

Summary:
- symmetry = Pmmn, No. 59
- spin magnetization (μB per cell) = 1.64
- D(E_F) (states/eV/atom) = 1.659

Cell: 4.563 6.460 9.143 Å, 90.00 90.00 90.00°
Sites, in units of the cell vectors:
Sb 0.500 0.500 0.120
La 0.000 0.500 0.375
Sb 0.000 0.000 0.369
Sb 0.500 0.500 0.631
Ce 0.000 0.500 0.876
Ce 0.500 0.000 0.124
La 0.500 0.000 0.625
Sb 0.000 0.000 0.880

---

Question: which arrangement is favored energetically? Ranking from most to least stable: version B, version A.